NbTe4 | meta-GGA SCAN | single point on PBEsol structure

a b c (Å): 9.1651 9.1651 20.5405
angles (deg): 90.00 90.00 90.00
Fractional coordinates of all 60 atoms:
Te  0.4087  0.7591  0.0035
Te  0.5828  0.7548  0.1648
Te  0.9087  0.2591  0.9965
Te  0.7452  0.9172  0.6648
Te  0.0913  0.7409  0.9965
Te  0.0955  0.2817  0.1658
Te  0.9045  0.2817  0.6658
Te  0.7183  0.0955  0.8342
Te  0.2452  0.4172  0.3352
Te  0.7817  0.4045  0.1658
Te  0.7548  0.4172  0.8352
Te  0.2548  0.0828  0.6648
Te  0.2409  0.4087  0.9965
Te  0.4172  0.2452  0.1648
Te  0.2591  0.0913  0.0035
Te  0.5913  0.2409  0.0035
Te  0.2548  0.9172  0.1648
Te  0.9087  0.7409  0.4965
Te  0.7591  0.4087  0.4965
Te  0.5955  0.7817  0.8342
Te  0.7548  0.5828  0.3352
Te  0.2817  0.0955  0.3342
Te  0.0913  0.2591  0.4965
Te  0.9172  0.2548  0.3352
Te  0.7409  0.9087  0.0035
Te  0.0828  0.2548  0.8352
Te  0.7591  0.5913  0.9965
Te  0.0955  0.7183  0.6658
Te  0.7452  0.0828  0.1648
Te  0.2452  0.5828  0.8352
Te  0.5913  0.7591  0.5035
Te  0.7183  0.9045  0.3342
Te  0.0828  0.7452  0.3352
Te  0.2409  0.5913  0.4965
Te  0.4045  0.2183  0.8342
Te  0.4087  0.2409  0.5035
Te  0.2183  0.4045  0.6658
Te  0.7409  0.0913  0.5035
Te  0.2183  0.5955  0.1658
Te  0.7817  0.5955  0.6658
Te  0.2591  0.9087  0.5035
Te  0.4045  0.7817  0.3342
Te  0.5828  0.2452  0.6648
Te  0.4172  0.7548  0.6648
Te  0.9045  0.7183  0.1658
Te  0.2817  0.9045  0.8342
Te  0.5955  0.2183  0.3342
Te  0.9172  0.7452  0.8352
Nb  0.5000  0.0000  0.4305
Nb  0.0000  0.5000  0.5695
Nb  0.0000  0.5000  0.2625
Nb  0.0000  0.5000  0.7625
Nb  0.5000  0.0000  0.5847
Nb  0.0000  0.5000  0.4153
Nb  0.0000  0.5000  0.0695
Nb  0.5000  0.0000  0.0847
Nb  0.0000  0.5000  0.9153
Nb  0.5000  0.0000  0.7375
Nb  0.5000  0.0000  0.9305
Nb  0.5000  0.0000  0.2375

Calculated values
Energy relative to the elements, uncorrected: -0.3608 eV/atom
Relative energy among the computed polymorphs: 0 meV per atom
M_tot: 0.0 μB/cell